Entry 1:
The following is a PBE-GGA calculation of a relaxed Pa2HgPt crystal, from Alexandria via LeMat-Bulk.

Cell lengths 3.722, 3.722, 6.828 Å; angles 90.00, 90.00, 90.00 degrees
Space group P4/mmm (No. 123)
Asymmetric unit:
Pa 0.000 0.000 0.206
Hg 0.500 0.500 0.500
Pt 0.500 0.500 0.000

Computed properties:
Crystal system: tetragonal
Distance to the lowest polymorph of the same formula: 4 meV/atom

---

Entry 2:
The following is a PBE-GGA calculation of a relaxed Pa2HgPt3 crystal, from Alexandria via LeMat-Bulk.

Cell lengths 13.311, 13.311, 13.311 Å; angles 90.00, 90.00, 90.00 degrees
Space group Fd-3m (No. 227, origin choice 2)
Asymmetric unit:
Pa 0.005 0.005 0.245
Hg 0.000 0.000 0.500
Pt 0.119 0.375 0.375

Computed properties:
Crystal system: cubic
E: -642.9 eV/cell

---

Entry 3:
The following is a PBE-GGA calculation of a relaxed Pa2HgPt2 crystal, from Alexandria via LeMat-Bulk.

Cell lengths 7.863, 7.863, 3.623 Å; angles 90.00, 90.00, 90.00 degrees
Space group P4/mbm (No. 127)
Asymmetric unit:
Pa 0.173 0.327 0.000
Hg 0.000 0.000 0.500
Pt 0.129 0.629 0.500

Computed properties:
Crystal system: tetragonal
E: -70.6 eV/cell

---

Entry 4:
The following is a PBE-GGA calculation of a relaxed PaHgPt crystal, from Alexandria via LeMat-Bulk.

Cell lengths 4.8089, 4.8089, 3.1823 Å; angles 90.00, 90.00, 120.00 degrees
Space group P-6m2 (No. 187)
Asymmetric unit:
Pa 0.0000 0.0000 0.0000
Hg 0.3333 0.6667 0.5000
Pt 0.6667 0.3333 0.5000

Computed properties:
Crystal system: hexagonal
Distance to the lowest polymorph of the same formula: 97 meV/atom

---

Entry 5:
The following is a PBE-GGA calculation of a relaxed Pa2HgPt crystal, from Alexandria via LeMat-Bulk.

Cell lengths 4.507, 4.507, 4.376 Å; angles 90.00, 90.00, 90.00 degrees
Space group P4/mmm (No. 123)
Asymmetric unit:
Pa 0.000 0.500 0.000
Hg 0.000 0.000 0.500
Pt 0.500 0.500 0.500

Computed properties:
Crystal system: tetragonal
Distance to the lowest polymorph of the same formula: 0 meV/atom

---

Entry 6:
The following is a PBE-GGA calculation of a relaxed Pa2HgPt crystal, from Alexandria via LeMat-Bulk.

Cell lengths 3.1377, 3.1377, 32.7783 Å; angles 90.00, 90.00, 120.00 degrees
Space group R-3m (No. 166, hexagonal axes)
Asymmetric unit:
Pa 0.0000 0.0000 0.0824
Hg 0.0000 0.0000 0.5000
Pt 0.0000 0.0000 0.0000

Computed properties:
Crystal system: trigonal
Distance to the lowest polymorph of the same formula: 396 meV/atom

---

Entry 7:
The following is a PBE-GGA calculation of a relaxed PaHgPt4 crystal, from Alexandria via LeMat-Bulk.

Cell lengths 7.627, 7.627, 7.627 Å; angles 90.00, 90.00, 90.00 degrees
Space group F-43m (No. 216)
Asymmetric unit:
Pa 0.000 0.000 0.000
Hg 0.250 0.250 0.250
Pt 0.125 0.125 0.625

Computed properties:
Crystal system: cubic
E: -153.0 eV/cell

---

Entry 8:
The following is a PBE-GGA calculation of a relaxed PuPaHgPt crystal, from Alexandria via LeMat-Bulk.

Cell lengths 7.231, 7.231, 7.231 Å; angles 90.00, 90.00, 90.00 degrees
Space group F-43m (No. 216)
Asymmetric unit:
Pu 0.000 0.000 0.000
Pa 0.000 0.000 0.500
Hg 0.250 0.250 0.750
Pt 0.250 0.250 0.250

Computed properties:
Crystal system: cubic
E: -125.0 eV/cell

---

Entry 9:
The following is a PBE-GGA calculation of a relaxed YPaHgPt crystal, from Alexandria via LeMat-Bulk.

Cell lengths 7.227, 7.227, 7.227 Å; angles 90.00, 90.00, 90.00 degrees
Space group F-43m (No. 216)
Asymmetric unit:
Y 0.000 0.000 0.000
Pa 0.000 0.000 0.500
Hg 0.250 0.250 0.750
Pt 0.250 0.250 0.250

Computed properties:
Crystal system: cubic
E: -96.3 eV/cell

---

Entry 10:
The following is a PBE-GGA calculation of a relaxed Pu2PaHg crystal, from Alexandria via LeMat-Bulk.

Cell lengths 4.2120, 4.2120, 19.8433 Å; angles 90.00, 90.00, 120.00 degrees
Space group R-3m (No. 166, hexagonal axes)
Asymmetric unit:
Pu 0.0000 0.0000 0.2364
Pa 0.0000 0.0000 0.5000
Hg 0.0000 0.0000 0.0000

Computed properties:
Crystal system: trigonal
Distance to the lowest polymorph of the same formula: 386 meV/atom

---

Entry 11:
The following is a PBE-GGA calculation of a relaxed Pu2PaHg crystal, from Alexandria via LeMat-Bulk.

Cell lengths 4.560, 4.560, 4.842 Å; angles 90.00, 90.00, 90.00 degrees
Space group P4/mmm (No. 123)
Asymmetric unit:
Pu 0.000 0.500 0.000
Pa 0.000 0.000 0.500
Hg 0.500 0.500 0.500

Computed properties:
Crystal system: tetragonal
Distance to the lowest polymorph of the same formula: 96 meV/atom

---

Entry 12:
The following is a PBE-GGA calculation of a relaxed PuPaHg2 crystal, from Alexandria via LeMat-Bulk.

Cell lengths 3.175, 3.175, 9.646 Å; angles 90.00, 90.00, 90.00 degrees
Space group P4/mmm (No. 123)
Asymmetric unit:
Pu 0.000 0.000 0.000
Pa 0.000 0.000 0.500
Hg 0.500 0.500 0.251

Computed properties:
Crystal system: tetragonal
Distance to the lowest polymorph of the same formula: 2 meV/atom

---

Entry 13:
The following is a PBE-GGA calculation of a relaxed PuPaHg crystal, from Alexandria via LeMat-Bulk.

Cell lengths 3.770, 3.770, 10.263 Å; angles 90.00, 90.00, 90.00 degrees
Space group I4mm (No. 107)
Asymmetric unit:
Pu 0.000 0.000 0.000
Pa 0.000 0.000 0.636
Hg 0.000 0.000 0.319

Computed properties:
Crystal system: tetragonal
Distance to the lowest polymorph of the same formula: 0 meV/atom

---

Entry 14:
The following is a PBE-GGA calculation of a relaxed PuPaHg2 crystal, from Alexandria via LeMat-Bulk.

Cell lengths 4.489, 4.489, 4.825 Å; angles 90.00, 90.00, 90.00 degrees
Space group P4/mmm (No. 123)
Asymmetric unit:
Pu 0.000 0.000 0.000
Pa 0.500 0.500 0.000
Hg 0.000 0.500 0.500

Computed properties:
Crystal system: tetragonal
Distance to the lowest polymorph of the same formula: 0 meV/atom

---

Entry 15:
The following is a PBE-GGA calculation of a relaxed Pu2PaHg crystal, from Alexandria via LeMat-Bulk.

Cell lengths 7.332, 7.332, 7.332 Å; angles 90.00, 90.00, 90.00 degrees
Space group Fm-3m (No. 225)
Asymmetric unit:
Pu 0.250 0.250 0.250
Pa 0.000 0.000 0.000
Hg 0.000 0.000 0.500

Computed properties:
Crystal system: cubic
Distance to the lowest polymorph of the same formula: 143 meV/atom

---

Entry 16:
The following is a PBE-GGA calculation of a relaxed PuPaHg2 crystal, from Alexandria via LeMat-Bulk.

Cell lengths 3.2429, 3.2429, 32.8098 Å; angles 90.00, 90.00, 120.00 degrees
Space group R-3m (No. 166, hexagonal axes)
Asymmetric unit:
Pu 0.0000 0.0000 0.0000
Pa 0.0000 0.0000 0.5000
Hg 0.0000 0.0000 0.2500

Computed properties:
Crystal system: trigonal
Distance to the lowest polymorph of the same formula: 59 meV/atom

---

Entry 17:
The following is a PBE-GGA calculation of a relaxed Pu2PaHg crystal, from Alexandria via LeMat-Bulk.

Cell lengths 3.360, 3.360, 8.800 Å; angles 90.00, 90.00, 90.00 degrees
Space group P4/mmm (No. 123)
Asymmetric unit:
Pu 0.000 0.000 0.236
Pa 0.500 0.500 0.000
Hg 0.500 0.500 0.500

Computed properties:
Crystal system: tetragonal
Distance to the lowest polymorph of the same formula: 0 meV/atom

---

Entry 18:
The following is a PBE-GGA calculation of a relaxed PuPaHg4 crystal, from Alexandria via LeMat-Bulk.

Cell lengths 8.396, 8.396, 8.396 Å; angles 90.00, 90.00, 90.00 degrees
Space group F-43m (No. 216)
Asymmetric unit:
Pu 0.000 0.000 0.000
Pa 0.250 0.250 0.750
Hg 0.125 0.125 0.375

Computed properties:
Crystal system: cubic
Distance to the lowest polymorph of the same formula: 216 meV/atom

---

Entry 19:
The following is a PBE-GGA calculation of a relaxed PuPaHg2 crystal, from Alexandria via LeMat-Bulk.

Cell lengths 7.478, 7.478, 7.478 Å; angles 90.00, 90.00, 90.00 degrees
Space group Fm-3m (No. 225)
Asymmetric unit:
Pu 0.000 0.000 0.000
Pa 0.000 0.000 0.500
Hg 0.250 0.250 0.250

Computed properties:
Crystal system: cubic
Distance to the lowest polymorph of the same formula: 122 meV/atom

---

Entry 20:
The following is a PBE-GGA calculation of a relaxed PuPaHg crystal, from Alexandria via LeMat-Bulk.

Cell lengths 5.1367, 5.1367, 3.1044 Å; angles 90.00, 90.00, 120.00 degrees
Space group P-6m2 (No. 187)
Asymmetric unit:
Pu 0.0000 0.0000 0.0000
Pa 0.3333 0.6667 0.0000
Hg 0.6667 0.3333 0.5000

Computed properties:
Crystal system: hexagonal
Distance to the lowest polymorph of the same formula: 67 meV/atom

---

Entry 21:
The following is a PBE-GGA calculation of a relaxed PuPaHg4 crystal, from Alexandria via LeMat-Bulk.

Cell lengths 6.213, 17.805, 5.145 Å; angles 90.00, 90.00, 90.00 degrees
Space group Cmcm (No. 63)
Asymmetric unit:
Pu 0.000 0.125 0.250
Pa 0.000 0.376 0.750
Hg 0.249 0.292 0.250
Hg 0.249 0.458 0.250

Computed properties:
Crystal system: orthorhombic
Distance to the lowest polymorph of the same formula: 0 meV/atom

---

Entry 22:
The following is a PBE-GGA calculation of a relaxed PuPaHgSb crystal, from Alexandria via LeMat-Bulk.

Cell lengths 7.507, 7.507, 7.507 Å; angles 90.00, 90.00, 90.00 degrees
Space group F-43m (No. 216)
Asymmetric unit:
Pu 0.000 0.000 0.000
Pa 0.000 0.000 0.500
Hg 0.250 0.250 0.250
Sb 0.250 0.250 0.750

Computed properties:
Energy relative to the elements, uncorrected: -170.9 meV per atom
Crystal system: cubic

---

Entry 23:
The following is a PBE-GGA calculation of a relaxed PuPaTcHg crystal, from Alexandria via LeMat-Bulk.

Cell lengths 7.127, 7.127, 7.127 Å; angles 90.00, 90.00, 90.00 degrees
Space group F-43m (No. 216)
Asymmetric unit:
Pu 0.000 0.000 0.000
Pa 0.000 0.000 0.500
Tc 0.250 0.250 0.250
Hg 0.250 0.250 0.750

Computed properties:
Crystal system: cubic
Distance to the lowest polymorph of the same formula: 247 meV/atom

---

Entry 24:
The following is a PBE-GGA calculation of a relaxed PuPaTcHg crystal, from Alexandria via LeMat-Bulk.

Cell lengths 3.255, 3.255, 8.568 Å; angles 90.00, 90.00, 90.00 degrees
Space group P4mm (No. 99)
Asymmetric unit:
Pu 0.000 0.000 0.000
Pa 0.000 0.000 0.580
Tc 0.500 0.500 0.780
Hg 0.500 0.500 0.286

Computed properties:
Crystal system: tetragonal
Distance to the lowest polymorph of the same formula: 0 meV/atom

---

Entry 25:
The following is a PBE-GGA calculation of a relaxed Rb2PaHgS4 crystal, from Alexandria via LeMat-Bulk.

Cell lengths 7.608, 7.608, 9.589 Å; angles 90.00, 90.00, 90.00 degrees
Space group I-4 (No. 82)
Asymmetric unit:
Rb 0.000 0.000 0.000
Rb 0.000 0.500 0.250
Pa 0.000 0.000 0.500
Hg 0.000 0.500 0.750
S 0.172 0.241 0.632

Computed properties:
Energy relative to the elements, uncorrected: -978.5 meV per atom
Crystal system: tetragonal

---

Entry 26:
The following is a PBE-GGA calculation of a relaxed Rb3Pa3HgSe8 crystal, from Alexandria via LeMat-Bulk.

Cell lengths 8.6323, 8.6323, 23.7929 Å; angles 90.00, 90.00, 120.00 degrees
Space group R-3m (No. 166, hexagonal axes)
Asymmetric unit:
Rb 0.0000 0.5000 0.0000
Pa 0.0000 0.5000 0.5000
Hg 0.0000 0.0000 0.5000
Se 0.0000 0.0000 0.2332
Se 0.0307 0.5153 0.7684

Computed properties:
Energy relative to the elements, uncorrected: -1189.5 meV per atom
Crystal system: trigonal

---

Entry 27:
The following is a PBE-GGA calculation of a relaxed RbPaHgSe4 crystal, from Alexandria via LeMat-Bulk.

Cell lengths 7.666, 8.444, 15.282 Å; angles 90.00, 90.00, 90.00 degrees
Space group Imma (No. 74)
Asymmetric unit:
Rb 0.000 0.250 0.165
Pa 0.000 0.000 0.500
Hg 0.250 0.250 0.750
Se 0.000 0.032 0.686
Se 0.233 0.250 0.502

Computed properties:
Energy relative to the elements, uncorrected: -934.9 meV per atom
Crystal system: orthorhombic